! TlTeSI2 | Alexandria via LeMat-Bulk | GGA-PBE | relaxed; values from VASP
! Polymorph energy (0 for the lowest one): 0.197 eV per atom
&SYSTEM
  ibrav = 0, nat = 5, ntyp = 4
/
ATOMIC_SPECIES
Te 127.60 Te.upf
Tl 204.38 Tl.upf
I 126.90 I.upf
S 32.06 S.upf
CELL_PARAMETERS angstrom
-5.665 -0.723 -0.151
0.733 -5.365 -1.823
0.084 -1.724 5.107
ATOMIC_POSITIONS crystal
Te 0.000 0.000 0.500
Tl 0.500 0.500 0.500
I 0.000 0.500 0.000
I 0.500 0.000 0.000
S 0.000 0.000 0.000


DFT (GGA-PBE) results for CaAc2DySe4 after structural relaxation. Values from VASP.

The structure in Quantum ESPRESSO input format:
```
&SYSTEM
  ibrav = 0, nat = 8, ntyp = 4
/
ATOMIC_SPECIES
Se 78.96 Se.upf
Dy 162.50 Dy.upf
Ca 40.08 Ca.upf
Ac 227.00 Ac.upf
CELL_PARAMETERS angstrom
-0.140 2.492 3.424
-1.415 -5.869 4.214
7.548 0.954 -0.385
ATOMIC_POSITIONS crystal
Se 0.000 0.739 0.222
Se 0.500 0.245 0.224
Se 0.500 0.755 0.776
Se 0.000 0.261 0.778
Dy 0.500 0.500 0.000
Ca 0.000 0.000 0.000
Ac 0.000 0.500 0.500
Ac 0.500 0.000 0.500
```


| no. | formation energy (no corrections) (eV per atom) |
| --- | --- |
| 1 | 0.09 |
| 2 | -1.85 |